(1)
# Na3HRh, relaxed, DFT PBEsol
# DFT total energy	-13.37	eV/cell
# crystal system	cubic
data_Na3HRh
_chemical_formula_sum 'Na3 H1 Rh1'
_symmetry_space_group_name_H-M 'P m -3 m'
_symmetry_Int_Tables_number 221
_symmetry_space_group_name_Hall '-P 4 2 3'
_cell_length_a 4.480
_cell_length_b 4.480
_cell_length_c 4.480
_cell_angle_alpha 90.00
_cell_angle_beta 90.00
_cell_angle_gamma 90.00
loop_
_atom_site_label
_atom_site_type_symbol
_atom_site_fract_x
_atom_site_fract_y
_atom_site_fract_z
Na1 Na 0.000 0.000 0.500
H1 H 0.000 0.000 0.000
Rh1 Rh 0.500 0.500 0.500

=====

(2)
# As3RuAu, relaxed, DFT PBEsol
# energy of formation from the pure elements	1514	meV per atom
# crystal system	cubic
data_As3RuAu
_chemical_formula_sum 'As3 Ru1 Au1'
_symmetry_space_group_name_H-M 'P m -3 m'
_symmetry_Int_Tables_number 221
_symmetry_space_group_name_Hall '-P 4 2 3'
_cell_length_a 4.842
_cell_length_b 4.842
_cell_length_c 4.842
_cell_angle_alpha 90.00
_cell_angle_beta 90.00
_cell_angle_gamma 90.00
loop_
_atom_site_label
_atom_site_type_symbol
_atom_site_fract_x
_atom_site_fract_y
_atom_site_fract_z
As1 As 0.000 0.000 0.500
Ru1 Ru 0.500 0.500 0.500
Au1 Au 0.000 0.000 0.000

=====

(3)
# TlSbPb, relaxed, DFT PBEsol
# formation energy from raw total energies	0.0237	eV per atom
# crystal system	orthorhombic
# ΔE to the lowest computed polymorph	15	meV/atom
data_TlSbPb
_chemical_formula_sum 'Tl2 Sb2 Pb2'
_symmetry_space_group_name_H-M 'I m m 2'
_symmetry_Int_Tables_number 44
_symmetry_space_group_name_Hall 'I 2 -2'
_cell_length_a 3.486
_cell_length_b 4.158
_cell_length_c 11.978
_cell_angle_alpha 90.00
_cell_angle_beta 90.00
_cell_angle_gamma 90.00
loop_
_atom_site_label
_atom_site_type_symbol
_atom_site_fract_x
_atom_site_fract_y
_atom_site_fract_z
Tl1 Tl 0.000 0.000 0.000
Sb1 Sb 0.000 0.000 0.335
Pb1 Pb 0.000 0.000 0.687

=====

(4)
# BaMgP, relaxed, DFT PBEsol
# energy of formation from the pure elements	-200	meV per atom
# crystal system	cubic
data_BaMgP
_chemical_formula_sum 'Ba4 Mg4 P4'
_symmetry_space_group_name_H-M 'F -4 3 m'
_symmetry_Int_Tables_number 216
_symmetry_space_group_name_Hall 'F -4 2 3'
_cell_length_a 6.827
_cell_length_b 6.827
_cell_length_c 6.827
_cell_angle_alpha 90.00
_cell_angle_beta 90.00
_cell_angle_gamma 90.00
loop_
_atom_site_label
_atom_site_type_symbol
_atom_site_fract_x
_atom_site_fract_y
_atom_site_fract_z
Ba1 Ba 0.000 0.000 0.000
Mg1 Mg 0.250 0.250 0.750
P1 P 0.000 0.000 0.500

=====

(5)
# Ba3Al2Sn2, relaxed, DFT PBEsol
# energy of formation from the pure elements	-525	meV per atom
# crystal system	orthorhombic
data_Ba3Al2Sn2
_chemical_formula_sum 'Ba6 Al4 Sn4'
_symmetry_space_group_name_H-M 'I m m m'
_symmetry_Int_Tables_number 71
_symmetry_space_group_name_Hall '-I 2 2'
_cell_length_a 4.569
_cell_length_b 5.160
_cell_length_c 20.564
_cell_angle_alpha 90.00
_cell_angle_beta 90.00
_cell_angle_gamma 90.00
loop_
_atom_site_label
_atom_site_type_symbol
_atom_site_fract_x
_atom_site_fract_y
_atom_site_fract_z
Ba1 Ba 0.000 0.000 0.000
Ba2 Ba 0.000 0.500 0.317
Al1 Al 0.000 0.000 0.438
Sn1 Sn 0.000 0.500 0.136

=====

(6)
# DyInRh, relaxed, DFT PBEsol
# energy of formation from the pure elements	-756	meV per atom
# crystal system	hexagonal
data_DyInRh
_chemical_formula_sum 'Dy3 In3 Rh3'
_symmetry_space_group_name_H-M 'P -6 2 m'
_symmetry_Int_Tables_number 189
_symmetry_space_group_name_Hall 'P -6 -2'
_cell_length_a 7.3860
_cell_length_b 7.3860
_cell_length_c 3.8773
_cell_angle_alpha 90.00
_cell_angle_beta 90.00
_cell_angle_gamma 120.00
loop_
_atom_site_label
_atom_site_type_symbol
_atom_site_fract_x
_atom_site_fract_y
_atom_site_fract_z
Dy1 Dy 0.0000 0.5930 0.0000
In1 In 0.0000 0.2566 0.5000
Rh1 Rh 0.0000 0.0000 0.0000
Rh2 Rh 0.3333 0.6667 0.5000

=====

(7)
# Al3Ag4, relaxed, DFT PBEsol
# energy of formation from the pure elements	-68	meV per atom
# crystal system	orthorhombic
# ΔE to the lowest computed polymorph	16	meV/atom
data_Al3Ag4
_chemical_formula_sum 'Al6 Ag8'
_symmetry_space_group_name_H-M 'I m m m'
_symmetry_Int_Tables_number 71
_symmetry_space_group_name_Hall '-I 2 2'
_cell_length_a 2.958
_cell_length_b 3.821
_cell_length_c 19.858
_cell_angle_alpha 90.00
_cell_angle_beta 90.00
_cell_angle_gamma 90.00
loop_
_atom_site_label
_atom_site_type_symbol
_atom_site_fract_x
_atom_site_fract_y
_atom_site_fract_z
Al1 Al 0.000 0.000 0.000
Al2 Al 0.000 0.000 0.145
Ag1 Ag 0.000 0.000 0.288
Ag2 Ag 0.000 0.000 0.429

=====

(8)
# MgNi4O8, relaxed, DFT PBEsol
# formation energy from raw total energies	-1.0556	eV per atom
# crystal system	trigonal
data_MgNi4O8
_chemical_formula_sum 'Mg3 Ni12 O24'
_symmetry_space_group_name_H-M 'R -3 m'
_symmetry_Int_Tables_number 166
_symmetry_space_group_name_Hall '-R 3 2"'
_cell_length_a 5.6418
_cell_length_b 5.6418
_cell_length_c 14.5366
_cell_angle_alpha 90.00
_cell_angle_beta 90.00
_cell_angle_gamma 120.00
loop_
_atom_site_label
_atom_site_type_symbol
_atom_site_fract_x
_atom_site_fract_y
_atom_site_fract_z
Mg1 Mg 0.0000 0.0000 0.0000
Ni1 Ni 0.0000 0.0000 0.5000
Ni2 Ni 0.0000 0.5000 0.5000
O1 O 0.0000 0.0000 0.2315
O2 O 0.0195 0.5097 0.7650

=====

(9)
# TiTeCl2, relaxed, DFT PBEsol
# formation energy from raw total energies	-0.9958	eV per atom
# crystal system	trigonal
data_TiTeCl2
_chemical_formula_sum 'Ti3 Te3 Cl6'
_symmetry_space_group_name_H-M 'R -3 m'
_symmetry_Int_Tables_number 166
_symmetry_space_group_name_Hall '-R 3 2"'
_cell_length_a 3.1791
_cell_length_b 3.1791
_cell_length_c 32.6693
_cell_angle_alpha 90.00
_cell_angle_beta 90.00
_cell_angle_gamma 120.00
loop_
_atom_site_label
_atom_site_type_symbol
_atom_site_fract_x
_atom_site_fract_y
_atom_site_fract_z
Ti1 Ti 0.0000 0.0000 0.0000
Te1 Te 0.0000 0.0000 0.5000
Cl1 Cl 0.0000 0.0000 0.3823

=====

(10)
# Be2SiTeS, relaxed, DFT PBEsol
# formation energy from raw total energies	0.5229	eV per atom
# crystal system	tetragonal
data_Be2SiTeS
_chemical_formula_sum 'Be2 Si1 Te1 S1'
_symmetry_space_group_name_H-M 'P 4/m m m'
_symmetry_Int_Tables_number 123
_symmetry_space_group_name_Hall '-P 4 2'
_cell_length_a 4.283
_cell_length_b 4.283
_cell_length_c 4.858
_cell_angle_alpha 90.00
_cell_angle_beta 90.00
_cell_angle_gamma 90.00
loop_
_atom_site_label
_atom_site_type_symbol
_atom_site_fract_x
_atom_site_fract_y
_atom_site_fract_z
Be1 Be 0.000 0.500 0.000
Si1 Si 0.000 0.000 0.000
Te1 Te 0.500 0.500 0.500
S1 S 0.000 0.000 0.500

=====

(11)
# AlGaSbN2, relaxed, DFT PBEsol
# formation energy from raw total energies	1.1594	eV per atom
# crystal system	tetragonal
data_AlGaSbN2
_chemical_formula_sum 'Al1 Ga1 Sb1 N2'
_symmetry_space_group_name_H-M 'P 4/m m m'
_symmetry_Int_Tables_number 123
_symmetry_space_group_name_Hall '-P 4 2'
_cell_length_a 3.885
_cell_length_b 3.885
_cell_length_c 5.226
_cell_angle_alpha 90.00
_cell_angle_beta 90.00
_cell_angle_gamma 90.00
loop_
_atom_site_label
_atom_site_type_symbol
_atom_site_fract_x
_atom_site_fract_y
_atom_site_fract_z
Al1 Al 0.000 0.000 0.000
Ga1 Ga 0.000 0.000 0.500
Sb1 Sb 0.500 0.500 0.000
N1 N 0.000 0.500 0.500

=====

(12)
# HgIrPb2O, relaxed, DFT PBEsol
# formation energy from raw total energies	0.3948	eV per atom
# crystal system	tetragonal
data_HgIrPb2O
_chemical_formula_sum 'Hg1 Ir1 Pb2 O1'
_symmetry_space_group_name_H-M 'P 4/m m m'
_symmetry_Int_Tables_number 123
_symmetry_space_group_name_Hall '-P 4 2'
_cell_length_a 4.796
_cell_length_b 4.796
_cell_length_c 4.483
_cell_angle_alpha 90.00
_cell_angle_beta 90.00
_cell_angle_gamma 90.00
loop_
_atom_site_label
_atom_site_type_symbol
_atom_site_fract_x
_atom_site_fract_y
_atom_site_fract_z
Hg1 Hg 0.000 0.000 0.000
Ir1 Ir 0.500 0.500 0.000
Pb1 Pb 0.000 0.500 0.500
O1 O 0.000 0.000 0.500

=====

Number 1: theoretical density 3.19 g/cm³, volume 18.0 Å³/atom. Number 2: theoretical density 7.65 g/cm³, volume 22.7 Å³/atom. Number 3: theoretical density 10.20 g/cm³, volume 28.9 Å³/atom. Number 4: theoretical density 4.02 g/cm³, volume 26.5 Å³/atom. Number 5: theoretical density 4.82 g/cm³, volume 34.6 Å³/atom. Number 6: theoretical density 10.34 g/cm³, volume 20.4 Å³/atom. Number 7: theoretical density 7.58 g/cm³, volume 16.0 Å³/atom. Number 8: theoretical density 4.81 g/cm³, volume 10.3 Å³/atom. Number 9: theoretical density 4.29 g/cm³, volume 23.8 Å³/atom. Number 10: theoretical density 3.83 g/cm³, volume 17.8 Å³/atom. Number 11: theoretical density 5.19 g/cm³, volume 15.8 Å³/atom. Number 12: theoretical density 13.26 g/cm³, volume 20.6 Å³/atom.